DFT (PBE-GGA) results for a relaxed SrZnS2Cl crystal.

a b c (Å): 5.898 5.898 5.585
angles (deg): 90.00 90.00 90.00
Atoms (fractional coordinates):
Sr (0.000, 0.000, 0.000)
Zn (0.500, 0.500, 0.500)
S (0.000, 0.500, 0.000)
S (0.500, 0.000, 0.000)
Cl (0.000, 0.000, 0.500)

density	2.16	g/cm³
energy relative to the lowest polymorph listed for this composition	86.6	kJ per mole of atoms
final energy	-13.812	eV/f.u.
total moment	0.6068	μB/atom